Entry 1:
DFT (PBE) results for a relaxed SbW2Br crystal. Values from VASP.

Results
Magnetization   0.0 μB/f.u.
Calculated total energy   -6.6688 eV/atom
Space-group type   Pmmm (47)
E above lowest polymorph   1.056 eV per atom

The structure in Quantum ESPRESSO input format:
```
&SYSTEM
  ibrav = 0, nat = 4, ntyp = 3
/
ATOMIC_SPECIES
Sb 121.76 Sb.upf
W 183.84 W.upf
Br 79.90 Br.upf
CELL_PARAMETERS angstrom
2.935 0.000 0.000
0.000 4.753 0.000
0.000 0.000 5.518
ATOMIC_POSITIONS crystal
Sb 0.000 0.000 0.000
W 0.000 0.500 0.500
W 0.500 0.500 0.000
Br 0.500 0.000 0.500
```



Entry 2:
DFT (PBE) results for a relaxed SnAuN2 crystal. Values from VASP.

Results
Magnetization   0.0 μB/f.u.
Calculated total energy   -5.4199 eV/atom
Space-group type   R-3m (166)

The structure in Quantum ESPRESSO input format:
```
&SYSTEM
  ibrav = 0, nat = 12, ntyp = 3
/
ATOMIC_SPECIES
Sn 118.71 Sn.upf
Au 196.97 Au.upf
N 14.01 N.upf
CELL_PARAMETERS angstrom
3.296 0.000 0.000
-1.648 2.854 0.000
0.000 0.000 18.834
ATOMIC_POSITIONS crystal
Sn 0.000 0.000 0.000
Sn 0.333 0.667 0.667
Sn 0.667 0.333 0.333
Au 0.000 0.000 0.500
Au 0.333 0.667 0.167
Au 0.667 0.333 0.833
N 0.000 0.000 0.393
N 0.000 0.000 0.607
N 0.333 0.667 0.059
N 0.333 0.667 0.274
N 0.667 0.333 0.726
N 0.667 0.333 0.941
```



Entry 3:
DFT (PBE) results for a relaxed Pm3DyY6Sc2 crystal. Values from VASP.

Results
Magnetization   0.0 μB/f.u.
Calculated total energy   -5.8163 eV/atom
Space-group type   C2/m (12)

The structure in Quantum ESPRESSO input format:
```
&SYSTEM
  ibrav = 0, nat = 12, ntyp = 4
/
ATOMIC_SPECIES
Pm 145.00 Pm.upf
Dy 162.50 Dy.upf
Y 88.91 Y.upf
Sc 44.96 Sc.upf
CELL_PARAMETERS angstrom
3.072 -5.319 0.000
3.072 5.319 0.000
-2.045 0.000 11.514
ATOMIC_POSITIONS crystal
Pm 0.000 0.000 0.000
Pm 0.333 0.667 0.000
Pm 0.667 0.333 0.000
Dy 0.500 0.500 0.500
Y 0.083 0.419 0.258
Y 0.245 0.245 0.742
Y 0.419 0.083 0.258
Y 0.581 0.917 0.742
Y 0.755 0.755 0.258
Y 0.917 0.581 0.742
Sc 0.167 0.833 0.500
Sc 0.833 0.167 0.500
```



Entry 4:
DFT (PBE) results for a relaxed ScPd4 crystal. Values from VASP.

Results
Magnetization   0.0 μB/f.u.
Calculated total energy   -4.9656 eV/atom
Space-group type   Pm-3m (221)

The structure in Quantum ESPRESSO input format:
```
&SYSTEM
  ibrav = 0, nat = 5, ntyp = 2
/
ATOMIC_SPECIES
Sc 44.96 Sc.upf
Pd 106.42 Pd.upf
CELL_PARAMETERS angstrom
4.678 0.000 0.000
0.000 4.678 0.000
0.000 0.000 4.678
ATOMIC_POSITIONS crystal
Sc 0.000 0.000 0.000
Pd 0.000 0.000 0.500
Pd 0.000 0.500 0.000
Pd 0.500 0.000 0.000
Pd 0.500 0.500 0.500
```



Entry 5:
DFT (PBE) results for a relaxed SnBiN2 crystal. Values from VASP.

Results
Magnetization   0.0 μB/f.u.
Calculated total energy   -5.5411 eV/atom
Space-group type   I-42d (122)
E above lowest polymorph   0.094 eV per atom

The structure in Quantum ESPRESSO input format:
```
&SYSTEM
  ibrav = 0, nat = 16, ntyp = 3
/
ATOMIC_SPECIES
Sn 118.71 Sn.upf
Bi 208.98 Bi.upf
N 14.01 N.upf
CELL_PARAMETERS angstrom
5.504 0.000 0.000
0.000 5.504 0.000
0.000 0.000 9.905
ATOMIC_POSITIONS crystal
Sn 0.000 0.000 0.000
Sn 0.000 0.500 0.250
Sn 0.500 0.000 0.750
Sn 0.500 0.500 0.500
Bi 0.000 0.000 0.500
Bi 0.000 0.500 0.750
Bi 0.500 0.000 0.250
Bi 0.500 0.500 0.000
N 0.194 0.250 0.125
N 0.250 0.694 0.375
N 0.250 0.806 0.875
N 0.306 0.250 0.625
N 0.694 0.750 0.625
N 0.750 0.194 0.875
N 0.750 0.306 0.375
N 0.806 0.750 0.125
```



Entry 6:
DFT (PBE) results for a relaxed SnPOs3 crystal. Values from VASP.

Results
Magnetization   1.6 μB/f.u.
Calculated total energy   -5.6546 eV/atom
Space-group type   Pm-3m (221)
E above lowest polymorph   2.094 eV per atom

The structure in Quantum ESPRESSO input format:
```
&SYSTEM
  ibrav = 0, nat = 5, ntyp = 3
/
ATOMIC_SPECIES
Sn 118.71 Sn.upf
P 30.97 P.upf
Os 190.23 Os.upf
CELL_PARAMETERS angstrom
4.831 0.000 0.000
0.000 4.831 0.000
0.000 0.000 4.831
ATOMIC_POSITIONS crystal
Sn 0.000 0.000 0.000
P 0.500 0.500 0.500
Os 0.000 0.000 0.500
Os 0.000 0.500 0.000
Os 0.500 0.000 0.000
```